## Ba3Si6N2O12 (PBEsol)

Data for an optimized crystal structure of Ba3Si6N2O12.

The space group is P-3 (No. 147) and the conventional cell measures 7.5203, 7.5203 and 6.4738 Å, with angles of 90.00, 90.00 and 120.00 degrees. The asymmetric unit holds Ba at (0.0000, 0.0000, 0.0000), Ba at (0.3333, 0.6667, 0.1034), Si at (0.1700, 0.7633, 0.6113), N at (0.3333, 0.6667, 0.5641), O at (0.0159, 0.6980, 0.4074) and O at (0.0590, 0.6987, 0.8311).

The value obtained for the total energy is -7.981 eV/atom. As for the total moment: 0.00 μB/atom. For the calculated density, the calculation gives 4.192 g/cm³.